1.
KLiAs | GGA-PBE | optimized geometry

```
KLiAs
1.0
0.0000 3.4328 3.4328
3.4328 0.0000 3.4328
3.4328 3.4328 0.0000
K Li As
1 1 1
direct
0.0000 0.0000 0.0000
0.7500 0.7500 0.7500
0.5000 0.5000 0.5000
```

Results
N(E_F) = 3.775 states/eV/cell
VASP energy = -2.66 eV/atom
space-group type = No. 216
calculated formation energy = -0.11 eV/atom
ΔE to the lowest computed polymorph = 1.13 eV per formula unit


2.
K2LiAs | GGA-PBE | optimized geometry

```
K2LiAs
1.0
3.0084 -4.0300 0.0000
3.0084 4.0300 0.0000
-0.0092 0.0000 4.9810
K Li As
2 1 1
direct
0.0000 0.5000 0.0000
0.5000 0.0000 0.0000
0.0000 0.0000 0.5000
0.5000 0.5000 0.5000
```

Results
N(E_F) = 1.304 states/eV/cell
VASP energy = -2.28 eV/atom
space-group type = No. 12
calculated formation energy = -0.09 eV/atom


3.
KLiAs2 | GGA-PBE | optimized geometry

```
KLiAs2
1.0
-2.1495 2.1495 4.7518
2.1495 -2.1495 4.7518
2.1495 2.1495 -4.7518
K Li As
1 1 2
direct
0.0000 0.0000 0.0000
0.5000 0.5000 0.0000
0.2500 0.7500 0.5000
0.7500 0.2500 0.5000
```

Results
N(E_F) = 1.435 states/eV/cell
VASP energy = -3.20 eV/atom
space-group type = No. 139
calculated formation energy = -0.13 eV/atom
ΔE to the lowest computed polymorph = 1.33 eV per formula unit


4.
KLiAs | GGA-PBE | optimized geometry

```
KLiAs
1.0
-1.8447 1.8447 5.7754
1.8447 -1.8447 5.7754
1.8447 1.8447 -5.7754
K Li As
1 1 1
direct
0.0000 0.0000 0.0000
0.2588 0.2588 0.0000
0.7048 0.7048 0.0000
```

Results
N(E_F) = 1.170 states/eV/cell
VASP energy = -2.86 eV/atom
space-group type = No. 107
calculated formation energy = -0.31 eV/atom
ΔE to the lowest computed polymorph = 0.53 eV per formula unit


5.
KLiAs2 | GGA-PBE | optimized geometry

```
KLiAs2
1.0
3.1222 -4.7790 0.0000
3.1222 4.7790 0.0000
0.0000 0.0000 2.9268
K Li As
1 1 2
direct
0.0000 0.0000 0.0000
0.5000 0.5000 0.0000
0.0000 0.5000 0.5000
0.5000 0.0000 0.5000
```

Results
N(E_F) = 1.405 states/eV/cell
VASP energy = -3.22 eV/atom
space-group type = No. 65
calculated formation energy = -0.14 eV/atom
ΔE to the lowest computed polymorph = 1.27 eV per formula unit


6.
KLiAs2 | GGA-PBE | optimized geometry

```
KLiAs2
1.0
-1.8332 2.2618 6.4666
1.8332 -2.2618 6.4666
1.8332 2.2618 -6.4666
K Li As
1 1 2
direct
0.0000 0.0000 0.0000
0.2454 0.7454 0.5000
0.6382 0.6382 0.0000
0.7713 0.2713 0.5000
```

Results
N(E_F) = 0.969 states/eV/cell
VASP energy = -3.48 eV/atom
space-group type = No. 44
calculated formation energy = -0.40 eV/atom
ΔE to the lowest computed polymorph = 0.22 eV per formula unit